[1]
DFT (GGA-PBE) results for a relaxed Pm3Sm7Dy crystal.

The value obtained for the density of states at the Fermi level is 15.438 states/eV/cell. The value obtained for the polymorph energy (0 for the lowest one) is 0 meV per atom. For the energy of formation from the pure elements, the calculation gives 0.2316 eV/atom. The value obtained for the theoretical density is 7.1 g/cm³.

abc: 7.779 7.779 6.471
angles: 93.78 93.78 81.88
Sites, in units of the cell vectors:
Pm (0.000, 0.000, 0.000)
Pm (0.172, 0.828, 0.500)
Pm (0.828, 0.172, 0.500)
Sm (0.084, 0.428, 0.239)
Sm (0.240, 0.240, 0.713)
Sm (0.428, 0.084, 0.239)
Sm (0.500, 0.500, 0.500)
Sm (0.572, 0.916, 0.761)
Sm (0.760, 0.760, 0.287)
Sm (0.916, 0.572, 0.761)
Dy (0.500, 0.500, 0.000)

[2]
DFT (GGA-PBE) results for a relaxed Na2TbSn3Te6 crystal.

The value obtained for the density of states at the Fermi level is 4.754 states/eV/cell. The value obtained for the raw formation energy is -15.5 kcal/mol of atoms. The value obtained for the theoretical density is 5.7 g/cm³.

abc: 7.751 7.751 7.894
angles: 99.42 99.42 119.99
Sites, in units of the cell vectors:
Na (0.168, 0.832, 0.000)
Na (0.832, 0.168, 0.000)
Tb (0.500, 0.500, 0.000)
Sn (0.000, 0.000, 0.500)
Sn (0.337, 0.663, 0.500)
Sn (0.663, 0.337, 0.500)
Te (0.097, 0.416, 0.751)
Te (0.264, 0.264, 0.256)
Te (0.416, 0.097, 0.751)
Te (0.584, 0.903, 0.249)
Te (0.736, 0.736, 0.744)
Te (0.903, 0.584, 0.249)